# 1
# InSiW2 PBEsol optimized geometry
data_InSiW2
_cell_length_a 3.229
_cell_length_b 4.328
_cell_length_c 4.614
_cell_angle_alpha 90.00
_cell_angle_beta 90.00
_cell_angle_gamma 90.00
_space_group_name_H-M_alt 'P 1'
_space_group_IT_number 1
loop_
_space_group_symop_operation_xyz
'x,y,z'
loop_
_atom_site_label
_atom_site_fract_x
_atom_site_fract_y
_atom_site_fract_z
In1 0.500 0.500 0.000
Si1 0.000 0.500 0.500
W1 0.000 0.000 0.000
W2 0.500 0.000 0.500
# D(E_F)	0.6646	states/eV/atom
# E	-34.2	eV/cell
# energy above the lowest structure with this stoichiometry	0.373	eV/atom
# raw formation energy	537	meV per atom



# 2
# In2SiW PBEsol optimized geometry
data_In2SiW
_cell_length_a 3.403
_cell_length_b 4.712
_cell_length_c 5.395
_cell_angle_alpha 115.89
_cell_angle_beta 108.38
_cell_angle_gamma 90.00
_space_group_name_H-M_alt 'P 1'
_space_group_IT_number 1
loop_
_space_group_symop_operation_xyz
'x,y,z'
loop_
_atom_site_label
_atom_site_fract_x
_atom_site_fract_y
_atom_site_fract_z
In1 0.992 0.992 0.984
In2 0.762 0.262 0.524
Si1 0.524 0.524 0.049
W1 0.222 0.722 0.444
# D(E_F)	0.2674	states/eV/atom
# E	-23.7	eV/cell
# raw formation energy	460	meV per atom



# 3
# InSi2W PBEsol optimized geometry
data_InSi2W
_cell_length_a 3.312
_cell_length_b 4.260
_cell_length_c 4.568
_cell_angle_alpha 90.00
_cell_angle_beta 90.00
_cell_angle_gamma 90.00
_space_group_name_H-M_alt 'P 1'
_space_group_IT_number 1
loop_
_space_group_symop_operation_xyz
'x,y,z'
loop_
_atom_site_label
_atom_site_fract_x
_atom_site_fract_y
_atom_site_fract_z
In1 0.000 0.500 0.500
Si1 0.000 0.000 0.000
Si2 0.500 0.000 0.500
W1 0.500 0.500 0.000
# D(E_F)	0.5741	states/eV/atom
# E	-25.7	eV/cell
# raw formation energy	636	meV per atom